Model one:
# Ga3TeF

A relaxed structure of Ga3TeF (PBE-GGA, Alexandria via LeMat-Bulk).

Cell: 4.898 4.898 4.898 Å, 90.00 90.00 90.00°
Fractional positions:
Ga: 0.500 0.000 0.000
Ga: 0.000 0.000 0.500
Ga: 0.000 0.500 0.000
F: 0.000 0.000 0.000
Te: 0.500 0.500 0.500

Properties
volume	23.51	Å³ per atom
M_tot	0.000	μB/f.u.
DOS at the Fermi energy	0.056	states/eV per cell


Model two:
# Ga3TeF

A relaxed structure of Ga3TeF (PBE-GGA, Alexandria via LeMat-Bulk).

Cell: 6.113 6.113 6.113 Å, 90.00 90.00 90.00°
Fractional positions:
Ga: 0.500 0.000 0.000
Ga: 0.000 0.500 0.000
Ga: 0.000 0.000 0.500
Te: 0.000 0.000 0.000
F: 0.500 0.500 0.500

Properties
volume	45.68	Å³ per atom
M_tot	0.000	μB/f.u.
DOS at the Fermi energy	0.712	states/eV per cell


Relative energy table, unit meV/atom: model one 0; model two 707


Model one:
# GaTe2F

A relaxed structure of GaTe2F (PBE-GGA, Alexandria via LeMat-Bulk).

Cell: 6.613 6.613 6.941 Å, 61.55 61.55 90.00°
Fractional positions:
Te: 0.375 0.379 0.750
Te: 0.875 0.871 0.750
Te: 0.621 0.125 0.250
Te: 0.129 0.625 0.250
F: 0.500 0.500 0.000
F: 0.250 0.750 0.500
Ga: 0.750 0.250 0.500
Ga: 0.000 0.000 0.000

Properties
volume	28.04	Å³ per atom
M_tot	0.000	μB/f.u.
DOS at the Fermi energy	6.675	states/eV per cell


Model two:
# GaTe2F

A relaxed structure of GaTe2F (PBE-GGA, Alexandria via LeMat-Bulk).

Cell: 7.933 7.933 7.933 Å, 30.65 30.65 30.65°
Fractional positions:
Te: 0.101 0.101 0.101
Te: 0.899 0.899 0.899
F: 0.000 0.000 0.000
Ga: 0.500 0.500 0.500

Properties
volume	28.77	Å³ per atom
M_tot	0.000	μB/f.u.
DOS at the Fermi energy	0.237	states/eV per cell


Model three:
# GaTe2F

A relaxed structure of GaTe2F (PBE-GGA, Alexandria via LeMat-Bulk).

Cell: 9.843 9.843 9.843 Å, 18.86 18.86 18.86°
Fractional positions:
Ga: 0.000 0.000 0.000
Te: 0.906 0.906 0.906
Te: 0.094 0.094 0.094
F: 0.500 0.500 0.500

Properties
volume	21.78	Å³ per atom
M_tot	0.000	μB/f.u.
DOS at the Fermi energy	2.994	states/eV per cell


Relative energy table, unit meV/atom: model one 135; model two 0; model three 182


Model one:
# GaTeF3

A relaxed structure of GaTeF3 (PBE-GGA, Alexandria via LeMat-Bulk).

Cell: 4.699 4.699 4.699 Å, 90.00 90.00 90.00°
Fractional positions:
Te: 0.000 0.000 0.000
Ga: 0.500 0.500 0.500
F: 0.000 0.000 0.500
F: 0.000 0.500 0.000
F: 0.500 0.000 0.000

Properties
volume	20.76	Å³ per atom
M_tot	0.000	μB/f.u.
DOS at the Fermi energy	1.958	states/eV per cell


Model two:
# GaTeF3

A relaxed structure of GaTeF3 (PBE-GGA, Alexandria via LeMat-Bulk).

Cell: 4.290 4.290 4.290 Å, 90.00 90.00 90.00°
Fractional positions:
Te: 0.500 0.500 0.500
F: 0.500 0.000 0.000
F: 0.000 0.500 0.000
F: 0.000 0.000 0.500
Ga: 0.000 0.000 0.000

Properties
volume	15.79	Å³ per atom
M_tot	2.297	μB/f.u.
DOS at the Fermi energy	0.844	states/eV per cell


Relative energy table, unit meV/atom: model one 123; model two 0


Model one:
# Ga2TeF

A relaxed structure of Ga2TeF (PBE-GGA, Alexandria via LeMat-Bulk).

Cell: 4.888 4.888 4.888 Å, 60.00 60.00 60.00°
Fractional positions:
Ga: 0.750 0.750 0.750
Ga: 0.250 0.250 0.250
F: 0.000 0.000 0.000
Te: 0.500 0.500 0.500

Properties
volume	20.65	Å³ per atom
M_tot	0.000	μB/f.u.
DOS at the Fermi energy	2.106	states/eV per cell


Model two:
# Ga2TeF

A relaxed structure of Ga2TeF (PBE-GGA, Alexandria via LeMat-Bulk).

Cell: 4.920 4.920 8.318 Å, 72.80 72.80 90.00°
Fractional positions:
Ga: 0.239 0.625 0.250
Ga: 0.375 0.489 0.750
Ga: 0.875 0.761 0.750
Ga: 0.511 0.125 0.250
Te: 0.000 0.000 0.000
Te: 0.750 0.250 0.500
F: 0.500 0.500 0.000
F: 0.250 0.750 0.500

Properties
volume	22.86	Å³ per atom
M_tot	0.000	μB/f.u.
DOS at the Fermi energy	2.726	states/eV per cell


Relative energy table, unit meV/atom: model one 55; model two 0


Model one:
# TiGaF3

A relaxed structure of TiGaF3 (PBE-GGA, Alexandria via LeMat-Bulk).

Cell: 4.262 4.262 4.262 Å, 90.00 90.00 90.00°
Fractional positions:
F: 0.500 0.000 0.000
F: 0.000 0.000 0.500
F: 0.000 0.500 0.000
Ga: 0.000 0.000 0.000
Ti: 0.500 0.500 0.500

Properties
volume	15.49	Å³ per atom
M_tot	2.509	μB/f.u.
DOS at the Fermi energy	3.397	states/eV per cell


Model two:
# TiGaF3

A relaxed structure of TiGaF3 (PBE-GGA, Alexandria via LeMat-Bulk).

Cell: 4.153 4.153 4.153 Å, 90.00 90.00 90.00°
Fractional positions:
F: 0.000 0.000 0.500
F: 0.500 0.000 0.000
F: 0.000 0.500 0.000
Ti: 0.000 0.000 0.000
Ga: 0.500 0.500 0.500

Properties
volume	14.33	Å³ per atom
M_tot	0.001	μB/f.u.
DOS at the Fermi energy	7.415	states/eV per cell


Relative energy table, unit meV/atom: model one 805; model two 0


Model one:
# TiGa3F

A relaxed structure of TiGa3F (PBE-GGA, Alexandria via LeMat-Bulk).

Cell: 4.382 4.382 4.382 Å, 90.00 90.00 90.00°
Fractional positions:
Ga: 0.000 0.500 0.000
Ga: 0.500 0.000 0.000
Ga: 0.000 0.000 0.500
Ti: 0.500 0.500 0.500
F: 0.000 0.000 0.000

Properties
volume	16.83	Å³ per atom
M_tot	0.000	μB/f.u.
DOS at the Fermi energy	1.247	states/eV per cell


Model two:
# TiGa3F

A relaxed structure of TiGa3F (PBE-GGA, Alexandria via LeMat-Bulk).

Cell: 5.125 5.125 5.125 Å, 90.00 90.00 90.00°
Fractional positions:
Ga: 0.500 0.000 0.000
Ga: 0.000 0.500 0.000
Ga: 0.000 0.000 0.500
Ti: 0.000 0.000 0.000
F: 0.500 0.500 0.500

Properties
volume	26.91	Å³ per atom
M_tot	3.623	μB/f.u.
DOS at the Fermi energy	3.336	states/eV per cell


Relative energy table, unit meV/atom: model one 0; model two 560


Model one:
# Tl2GaF4

A relaxed structure of Tl2GaF4 (PBE-GGA, Alexandria via LeMat-Bulk).

Cell: 4.263 4.263 7.777 Å, 74.09 74.09 90.00°
Fractional positions:
Tl: 0.346 0.346 0.309
Tl: 0.654 0.654 0.691
F: 0.145 0.145 0.709
F: 0.855 0.855 0.291
F: 0.000 0.500 0.000
F: 0.500 0.000 0.000
Ga: 0.000 0.000 0.000

Properties
volume	18.61	Å³ per atom
M_tot	0.000	μB/f.u.
DOS at the Fermi energy	1.547	states/eV per cell


Model two:
# Tl2GaF4

A relaxed structure of Tl2GaF4 (PBE-GGA, Alexandria via LeMat-Bulk).

Cell: 6.279 6.279 6.023 Å, 121.55 121.54 89.79°
Fractional positions:
F: 0.822 0.239 0.061
F: 0.236 0.820 0.056
F: 0.236 0.236 0.053
F: 0.818 0.818 0.053
Tl: 0.218 0.718 0.435
Tl: 0.717 0.217 0.435
Ga: 0.952 0.953 0.905

Properties
volume	22.87	Å³ per atom
M_tot	0.923	μB/f.u.
DOS at the Fermi energy	0.934	states/eV per cell


Relative energy table, unit meV/atom: model one 0; model two 39


Model one:
# TlGa3F

A relaxed structure of TlGa3F (PBE-GGA, Alexandria via LeMat-Bulk).

Cell: 5.505 5.505 5.505 Å, 90.00 90.00 90.00°
Fractional positions:
F: 0.500 0.500 0.500
Tl: 0.000 0.000 0.000
Ga: 0.000 0.500 0.000
Ga: 0.000 0.000 0.500
Ga: 0.500 0.000 0.000

Properties
volume	33.37	Å³ per atom
M_tot	0.000	μB/f.u.
DOS at the Fermi energy	4.052	states/eV per cell


Model two:
# TlGa3F

A relaxed structure of TlGa3F (PBE-GGA, Alexandria via LeMat-Bulk).

Cell: 4.808 4.808 4.808 Å, 90.00 90.00 90.00°
Fractional positions:
Ga: 0.000 0.500 0.000
Ga: 0.500 0.000 0.000
Ga: 0.000 0.000 0.500
F: 0.000 0.000 0.000
Tl: 0.500 0.500 0.500

Properties
volume	22.23	Å³ per atom
M_tot	0.000	μB/f.u.
DOS at the Fermi energy	3.019	states/eV per cell


Relative energy table, unit meV/atom: model one 581; model two 0